No. 1
Below is a relaxed ScTlCd2 crystal, with properties calculated at the PBE level.

Cell: 5.070 5.070 5.070 Å, 60.00 60.00 60.00°
Element x y z (fractional)
1 Sc 0.000 0.000 0.000
2 Tl 0.750 0.750 0.750
3 Cd 0.250 0.250 0.250
4 Cd 0.500 0.500 0.500

Output
Its density of states at the Fermi level is 0.8 states/eV/f.u. The total energy is -10.9 eV for the cell shown. The space group is No. 216. The value obtained for the formation energy is -99 meV per atom. For the density, the calculation gives 8.54 Mg/m³. The energy relative to the lowest polymorph listed for this composition comes out at 81.8 meV/atom. The magnetic moment is 0.0 μB/f.u.

---

No. 2
Below is a relaxed NiSn2Pb crystal, with properties calculated at the PBE level.

Cell: 6.989 6.989 6.989 Å, 35.01 35.01 35.01°
Element x y z (fractional)
1 Ni 0.000 0.000 0.000
2 Sn 0.390 0.390 0.390
3 Sn 0.619 0.619 0.619
4 Pb 0.845 0.845 0.845

Output
Its density of states at the Fermi level is 2.4 states/eV/f.u. The total energy is -17.6 eV for the cell shown. The space group is No. 160. The value obtained for the formation energy is -15 meV per atom. For the density, the calculation gives 8.33 Mg/m³. The magnetic moment is 0.0 μB/f.u.

---

No. 3
Below is a relaxed CsAl2H2 crystal, with properties calculated at the PBE level.

Cell: 8.825 8.825 3.086 Å, 90.00 90.00 90.00°
Element x y z (fractional)
1 Cs 0.000 0.000 0.000
2 Cs 0.500 0.500 0.000
3 Al 0.104 0.396 0.000
4 Al 0.396 0.896 0.000
5 Al 0.604 0.104 0.000
6 Al 0.896 0.604 0.000
7 H 0.080 0.580 0.500
8 H 0.420 0.080 0.500
9 H 0.580 0.920 0.500
10 H 0.920 0.420 0.500

Output
Its density of states at the Fermi level is 1.3 states/eV/f.u. The total energy is -24.0 eV for the cell shown. The space group is No. 127. For the density, the calculation gives 2.61 Mg/m³. The energy relative to the lowest polymorph listed for this composition comes out at 266.5 meV/atom. The magnetic moment is 0.0 μB/f.u.

---

No. 4
Below is a relaxed Nd5Sm12Dy crystal, with properties calculated at the PBE level.

Cell: 10.915 10.915 6.295 Å, 106.61 106.61 60.07°
Element x y z (fractional)
1 Nd 0.000 0.000 0.000
2 Nd 0.167 0.167 0.501
3 Nd 0.334 0.334 0.002
4 Nd 0.666 0.666 0.998
5 Nd 0.833 0.833 0.499
6 Sm 0.000 0.334 0.001
7 Sm 0.000 0.666 0.999
8 Sm 0.168 0.501 0.501
9 Sm 0.168 0.832 0.500
10 Sm 0.334 0.000 0.001
11 Sm 0.334 0.666 0.000
12 Sm 0.499 0.832 0.499
13 Sm 0.501 0.168 0.501
14 Sm 0.666 0.000 0.999
15 Sm 0.666 0.334 0.000
16 Sm 0.832 0.168 0.500
17 Sm 0.832 0.499 0.499
18 Dy 0.500 0.500 0.500

Output
Its density of states at the Fermi level is 23.9 states/eV/f.u. The total energy is -84.8 eV for the cell shown. The space group is No. 12. The value obtained for the formation energy is 15 meV per atom. For the density, the calculation gives 7.28 Mg/m³. The magnetic moment is 0.0 μB/f.u.

---

No. 5
Below is a relaxed FeW crystal, with properties calculated at the PBE level.

Cell: 3.084 3.084 5.827 Å, 90.00 90.00 90.00°
Element x y z (fractional)
1 Fe 0.250 0.250 0.117
2 Fe 0.750 0.750 0.883
3 W 0.250 0.250 0.643
4 W 0.750 0.750 0.357

Output
Its density of states at the Fermi level is 1.8 states/eV/f.u. The total energy is -42.3 eV for the cell shown. The space group is No. 129. The value obtained for the formation energy is 124 meV per atom. For the density, the calculation gives 14.37 Mg/m³. The magnetic moment is 1.9 μB/f.u.

---

No. 6
Below is a relaxed Ca2PaP3Rh12 crystal, with properties calculated at the PBE level.

Cell: 6.685 6.685 6.685 Å, 82.63 82.63 82.63°
Element x y z (fractional)
1 Ca 0.113 0.113 0.113
2 Ca 0.887 0.887 0.887
3 Pa 0.500 0.500 0.500
4 P 0.000 0.500 0.500
5 P 0.500 0.000 0.500
6 P 0.500 0.500 0.000
7 Rh 0.138 0.138 0.580
8 Rh 0.138 0.580 0.138
9 Rh 0.164 0.680 0.680
10 Rh 0.320 0.320 0.836
11 Rh 0.320 0.836 0.320
12 Rh 0.420 0.862 0.862
13 Rh 0.580 0.138 0.138
14 Rh 0.680 0.164 0.680
15 Rh 0.680 0.680 0.164
16 Rh 0.836 0.320 0.320
17 Rh 0.862 0.420 0.862
18 Rh 0.862 0.862 0.420

Output
Its density of states at the Fermi level is 17.6 states/eV/f.u. The total energy is -124.5 eV for the cell shown. The space group is No. 166. The value obtained for the formation energy is -365 meV per atom. For the density, the calculation gives 9.32 Mg/m³. The magnetic moment is 0.0 μB/f.u.

---

No. 7
Below is a relaxed HoGa4CuPd2 crystal, with properties calculated at the PBE level.

Cell: 8.892 8.892 8.892 Å, 27.84 27.84 27.84°
Element x y z (fractional)
1 Ho 0.000 0.000 0.000
2 Ga 0.131 0.131 0.131
3 Ga 0.397 0.397 0.397
4 Ga 0.603 0.603 0.603
5 Ga 0.869 0.869 0.869
6 Cu 0.500 0.500 0.500
7 Pd 0.240 0.240 0.240
8 Pd 0.760 0.760 0.760

Output
Its density of states at the Fermi level is 2.5 states/eV/f.u. The total energy is -35.3 eV for the cell shown. The space group is No. 166. The value obtained for the formation energy is -516 meV per atom. For the density, the calculation gives 8.83 Mg/m³. The magnetic moment is 0.0 μB/f.u.